This record from Alexandria describes a relaxed structure of LiTbZnCu. The functional is PBE.

## Properties
- DOS at the Fermi energy (states/eV/f.u.) = 5.75
- final energy (eV per atom) = -3.123
- symmetry = No. 216
- formation energy (eV per atom) = -0.144

Lattice parameters (Å, degrees): 4.6240 4.6240 4.6240 60.00 60.00 60.00
Closest atoms and distances in Å follow each position.
Atoms (fractional coordinates):
Zn: 0.0000 0.0000 0.0000  4 Li 2.83, 4 Cu 2.83
Tb: 0.5000 0.5000 0.5000  4 Cu 2.83, 4 Li 2.83
Cu: 0.2500 0.2500 0.2500  4 Zn 2.83, 4 Tb 2.83
Li: 0.7500 0.7500 0.7500  4 Tb 2.83, 4 Zn 2.83

=====

This record from Alexandria describes a relaxed structure of LiCuTc2. The functional is PBE.

## Properties
- E above lowest polymorph (eV per atom) = 0.082
- DOS at the Fermi energy (states/eV/f.u.) = 2.84
- final energy (eV per atom) = -6.432
- symmetry = No. 10
- formation energy (eV per atom) = 0.253

Lattice parameters (Å, degrees): 4.4006 2.5312 5.0474 75.68 90.00 90.00
Closest atoms and distances in Å follow each position.
Atoms (fractional coordinates):
Cu: 0.5000 0.2500 0.2500  2 Li 2.53, 2 Cu 2.53, 4 Tc 2.68
Li: 0.5000 0.7500 0.7500  2 Cu 2.53, 2 Li 2.53, 4 Tc 2.70
Tc: 0.0000 0.0244 0.9943  4 Tc 2.45-2.61, 2 Cu 2.68, 2 Li 2.70
Tc: 0.0000 0.4756 0.5057  4 Tc 2.45-2.61, 2 Cu 2.68, 2 Li 2.70

=====

This record from Alexandria describes a relaxed structure of LiCuTc2. The functional is PBE.

## Properties
- E above lowest polymorph (eV per atom) = 0.408
- DOS at the Fermi energy (states/eV/f.u.) = 5.53
- final energy (eV per atom) = -6.105
- symmetry = No. 225
- formation energy (eV per atom) = 0.580

Lattice parameters (Å, degrees): 4.1836 4.1836 4.1836 60.00 60.00 60.00
Closest atoms and distances in Å follow each position.
Atoms (fractional coordinates):
Tc: 0.2500 0.2500 0.2500  4 Li 2.56, 4 Cu 2.56
Tc: 0.7500 0.7500 0.7500  4 Cu 2.56, 4 Li 2.56
Cu: 0.5000 0.5000 0.5000  8 Tc 2.56
Li: 0.0000 0.0000 0.0000  8 Tc 2.56

=====

This record from Alexandria describes a relaxed structure of LiCu2Tc. The functional is PBE.

## Properties
- E above lowest polymorph (eV per atom) = 0.027
- DOS at the Fermi energy (states/eV/f.u.) = 2.40
- final energy (eV per atom) = -4.986
- symmetry = No. 99
- formation energy (eV per atom) = 0.132

Lattice parameters (Å, degrees): 2.5311 2.5311 8.1444 90.00 90.00 90.00
Closest atoms and distances in Å follow each position.
Atoms (fractional coordinates):
Cu: 0.0000 0.0000 0.0127  8 Cu 2.53-2.58, 4 Tc 2.74
Cu: 0.5000 0.5000 0.2402  8 Cu 2.53-2.58, 4 Li 2.70
Li: 0.0000 0.0000 0.4887  4 Li 2.53, 4 Cu 2.70, 4 Tc 2.83
Tc: 0.5000 0.5000 0.7584  4 Tc 2.53, 4 Cu 2.74, 4 Li 2.83